Material: TlCrBr2
Method: DFT, GGA-PBE
State: optimized geometry

Cell: 3.6778 6.9127 9.7270 Å, 90.00 90.00 90.00°
Last column: nearest neighbours and their distance in Å.
Space group Cmmm (No. 65)
Symmetry-distinct sites (fractional):
Tl  0.0000  0.0000  0.0000 [2 per cell]  4 Br 3.59, 6 Tl 3.68-3.92
Cr  0.0000  0.0000  0.5000 [2 per cell]  4 Br 2.56
Br  0.0000  0.5000  0.3175 [4 per cell]  2 Cr 2.56

**Spin magnetization**: 8.758 μB/cell
**Crystal system**: orthorhombic
**Energy relative to the lowest polymorph listed for this composition**: 0.0358 eV/atom
**ΔE_f (raw)**: -1.39 eV/f.u.